The following is a DFT calculation (meta-GGA SCAN) of a crystal of K3Ag relaxed with PBEsol.

The energy of formation from the pure elements comes out at 0.094 eV/atom. As for the energy relative to the lowest polymorph listed for this composition: 0.149 eV/f.u.

The structure belongs to space group R-3m (No. 166, hexagonal axes); the cell edges are 4.6594, 4.6594 and 34.6308 Å and the angles 90.00°, 90.00° and 120.00°. The asymmetric unit holds K at (0.0000, 0.0000, 0.0000), K at (0.0000, 0.0000, 0.2235) and Ag at (0.0000, 0.0000, 0.5000).